DFT (GGA-PBE) results for Ca3FeN after structural relaxation.

```
data_Ca3FeN
_chemical_formula_sum 'Ca3 Fe1 N1'
_space_group_name_H-M_alt 'P m -3 m'
_space_group_IT_number 221
_space_group_name_Hall '-P 4 2 3'
_cell_length_a 5.066
_cell_length_b 5.066
_cell_length_c 5.066
_cell_angle_alpha 90.00
_cell_angle_beta 90.00
_cell_angle_gamma 90.00
loop_
_atom_site_label
_atom_site_fract_x
_atom_site_fract_y
_atom_site_fract_z
Ca1 0.000 0.000 0.500
Fe1 0.000 0.000 0.000
N1 0.500 0.500 0.500
```

Computed properties:
DOS(E_F) ... 0.790 states/eV/atom

***

DFT (GGA-PBE) results for CaFe3N after structural relaxation.

```
data_CaFe3N
_chemical_formula_sum 'Ca1 Fe3 N1'
_space_group_name_H-M_alt 'P m -3 m'
_space_group_IT_number 221
_space_group_name_Hall '-P 4 2 3'
_cell_length_a 4.015
_cell_length_b 4.015
_cell_length_c 4.015
_cell_angle_alpha 90.00
_cell_angle_beta 90.00
_cell_angle_gamma 90.00
loop_
_atom_site_label
_atom_site_fract_x
_atom_site_fract_y
_atom_site_fract_z
Ca1 0.000 0.000 0.000
Fe1 0.000 0.500 0.500
N1 0.500 0.500 0.500
```

Computed properties:
Energy above the lowest structure with this stoichiometry ... 0.000 eV per atom
DOS(E_F) ... 0.848 states/eV/atom

***

DFT (GGA-PBE) results for NaCaFeN2 after structural relaxation.

```
data_NaCaFeN2
_chemical_formula_sum 'Na1 Ca1 Fe1 N2'
_space_group_name_H-M_alt 'P 4/m m m'
_space_group_IT_number 123
_space_group_name_Hall '-P 4 2'
_cell_length_a 3.897
_cell_length_b 3.897
_cell_length_c 4.659
_cell_angle_alpha 90.00
_cell_angle_beta 90.00
_cell_angle_gamma 90.00
loop_
_atom_site_label
_atom_site_fract_x
_atom_site_fract_y
_atom_site_fract_z
Na1 0.000 0.000 0.000
Ca1 0.500 0.500 0.000
Fe1 0.500 0.500 0.500
N1 0.000 0.500 0.500
```

Computed properties:
DOS(E_F) ... 0.692 states/eV/atom

***

DFT (GGA-PBE) results for Ca2NpFeN4 after structural relaxation.

```
data_Ca2NpFeN4
_chemical_formula_sum 'Ca8 Np4 Fe4 N16'
_space_group_name_H-M_alt 'C m c m'
_space_group_IT_number 63
_space_group_name_Hall '-C 2c 2'
_cell_length_a 3.316
_cell_length_b 10.873
_cell_length_c 11.793
_cell_angle_alpha 90.00
_cell_angle_beta 90.00
_cell_angle_gamma 90.00
loop_
_atom_site_label
_atom_site_fract_x
_atom_site_fract_y
_atom_site_fract_z
Ca1 0.000 0.133 0.045
Np1 0.000 0.395 0.250
Fe1 0.000 0.341 0.750
N1 0.000 0.069 0.250
N2 0.000 0.216 0.647
N3 0.000 0.500 0.000
```

Computed properties:
DOS(E_F) ... 0.963 states/eV/atom

***

DFT (GGA-PBE) results for Ca3Np3FeN8 after structural relaxation.

```
data_Ca3Np3FeN8
_chemical_formula_sum 'Ca9 Np9 Fe3 N24'
_space_group_name_H-M_alt 'R -3 m'
_space_group_IT_number 166
_space_group_name_Hall '-R 3 2"'
_cell_length_a 6.6335
_cell_length_b 6.6335
_cell_length_c 17.0114
_cell_angle_alpha 90.00
_cell_angle_beta 90.00
_cell_angle_gamma 120.00
loop_
_atom_site_label
_atom_site_fract_x
_atom_site_fract_y
_atom_site_fract_z
Ca1 0.0000 0.5000 0.0000
Np1 0.0000 0.5000 0.5000
Fe1 0.0000 0.0000 0.5000
N1 0.0000 0.0000 0.2424
N2 0.0138 0.5069 0.2314
```

Computed properties:
DOS(E_F) ... 1.054 states/eV/atom

***

We obtain E_form (uncorrected) values of 1128 152 848 -577 -842 meV per atom for the records listed above, in that order.